[1]
DFT (GGA-PBE) results for a relaxed AcPdF crystal.

The value obtained for the uncorrected formation energy is -1.81 eV/atom. The calculation puts the density of states at the Fermi level at 4.3 states/eV per cell. The value obtained for the polymorph energy (0 for the lowest one) is 0 meV/atom.

a b c (Å): 11.492 11.492 11.492
angles (deg): 161.75 161.75 25.93
Sites, in units of the cell vectors:
Ac: 0.139 0.139 0.000
Ac: 0.861 0.861 0.000
Pd: 0.278 0.278 0.000
Pd: 0.722 0.722 0.000
F: 0.413 0.413 0.000
F: 0.587 0.587 0.000


[2]
DFT (GGA-PBE) results for a relaxed ScGaBi2Se crystal.

The value obtained for the uncorrected formation energy is 0.32 eV/atom. The calculation puts the density of states at the Fermi level at 4.2 states/eV per cell.

a b c (Å): 5.618 5.618 4.970
angles (deg): 90.00 90.00 90.00
Sites, in units of the cell vectors:
Sc: 0.000 0.000 0.000
Ga: 0.500 0.500 0.000
Bi: 0.000 0.500 0.500
Bi: 0.500 0.000 0.500
Se: 0.500 0.500 0.500


Which value of density of states at the Fermi level does entry 1 give?
4.3 states/eV per cell


What did the first record say?
DFT (GGA-PBE) results for a relaxed AcPdF crystal.

The value obtained for the uncorrected formation energy is -1.81 eV/atom. The calculation puts the density of states at the Fermi level at 4.3 states/eV per cell. The value obtained for the polymorph energy (0 for the lowest one) is 0 meV/atom.

a b c (Å): 11.492 11.492 11.492
angles (deg): 161.75 161.75 25.93
Sites, in units of the cell vectors:
Ac: 0.139 0.139 0.000
Ac: 0.861 0.861 0.000
Pd: 0.278 0.278 0.000
Pd: 0.722 0.722 0.000
F: 0.413 0.413 0.000
F: 0.587 0.587 0.000


What did the first record say?
DFT (GGA-PBE) results for a relaxed AcPdF crystal.

The value obtained for the uncorrected formation energy is -1.81 eV/atom. The calculation puts the density of states at the Fermi level at 4.3 states/eV per cell. The value obtained for the polymorph energy (0 for the lowest one) is 0 meV/atom.

a b c (Å): 11.492 11.492 11.492
angles (deg): 161.75 161.75 25.93
Sites, in units of the cell vectors:
Ac: 0.139 0.139 0.000
Ac: 0.861 0.861 0.000
Pd: 0.278 0.278 0.000
Pd: 0.722 0.722 0.000
F: 0.413 0.413 0.000
F: 0.587 0.587 0.000